Below is crystalline AcEr2Mn at its relaxed geometry, with properties calculated at the PBE level.

The space group is P4/mmm (No. 123) and the conventional cell measures 3.587, 3.587 and 9.115 Å, with angles of 90.00, 90.00 and 90.00 degrees. The inequivalent atoms are Ac at (0.000, 0.000, 0.000), Er at (0.500, 0.500, 0.317) and Mn at (0.000, 0.000, 0.500).

Its energy above the most stable polymorph in this dataset is 0.0 meV per atom. The calculation puts the formation energy from the elements at 142 meV per atom.

Below is crystalline AcEr3Mn at its relaxed geometry, with properties calculated at the PBE level.

The space group is Pm-3m (No. 221) and the conventional cell measures 5.368, 5.368 and 5.368 Å, with angles of 90.00, 90.00 and 90.00 degrees. The inequivalent atoms are Ac at (0.000, 0.000, 0.000), Er at (0.000, 0.500, 0.500) and Mn at (0.500, 0.500, 0.500).

The calculation puts the formation energy from the elements at 181 meV per atom.

Below is crystalline AcEr2Mn at its relaxed geometry, with properties calculated at the PBE level.

The space group is R-3m (No. 166, hexagonal axes) and the conventional cell measures 3.5284, 3.5284 and 34.7294 Å, with angles of 90.00, 90.00 and 120.00 degrees. The inequivalent atoms are Ac at (0.0000, 0.0000, 0.0000), Er at (0.0000, 0.0000, 0.4206) and Mn at (0.0000, 0.0000, 0.5000).

Its energy above the most stable polymorph in this dataset is 481.5 meV per atom. The calculation puts the formation energy from the elements at 623 meV per atom.

Below is crystalline Ac2ErMn2N6 at its relaxed geometry, with properties calculated at the PBE level.

The space group is R-3m (No. 166, hexagonal axes) and the conventional cell measures 5.7073, 5.7073 and 18.1635 Å, with angles of 90.00, 90.00 and 120.00 degrees. The inequivalent atoms are Ac at (0.0000, 0.0000, 0.2151), Er at (0.0000, 0.0000, 0.0000), Mn at (0.0000, 0.0000, 0.4022) and N at (0.0031, 0.5016, 0.2418).

The uncorrected formation energy comes out at -0.79 eV per atom.